Here is a relaxed Sc4CuAsC2 crystal from the Open Quantum Materials Database. Energies are from PBE-GGA.

Structure (extended XYZ):
```
8
Lattice="3.373 0.000 0.000 -1.686 2.921 0.000 0.000 0.000 13.104" Properties=species:S:1:pos:R:3 pbc="T T T"
Sc 0.000 0.000 2.047
Sc 0.000 0.000 11.057
Sc 0.000 1.947 4.490
Sc 0.000 1.947 8.613
Cu 0.000 0.000 6.552
As 0.000 1.947 0.000
C 1.686 0.974 3.307
C 1.686 0.974 9.797
```

Calculated values
SG = P-6m2, No. 187
Density = 4.4 g cm⁻³
Total energy = -7.077 eV per atom